# GGA-PBE NaGa2Bi2, optimized geometry
data_NaGa2Bi2
_symmetry_space_group_name_H-M 'P 1'
_symmetry_Int_Tables_number 1
_symmetry_space_group_name_Hall 'P 1'
_cell_length_a 5.3805
_cell_length_b 5.3805
_cell_length_c 9.8979
_cell_angle_alpha 90.00
_cell_angle_beta 90.00
_cell_angle_gamma 90.00
loop_
_atom_site_label
_atom_site_fract_x
_atom_site_fract_y
_atom_site_fract_z
Na1 0.0000 0.0000 0.0000
Na2 0.5000 0.5000 0.5000
Ga1 0.0000 0.0000 0.3737
Ga2 0.0000 0.0000 0.6263
Ga3 0.5000 0.5000 0.1263
Ga4 0.5000 0.5000 0.8737
Bi1 0.0000 0.5000 0.2500
Bi2 0.0000 0.5000 0.7500
Bi3 0.5000 0.0000 0.2500
Bi4 0.5000 0.0000 0.7500
# energy of formation from the pure elements	-53	meV per atom
# E_tot	-0.226	Ry/atom
# M_tot	0.0	Bohr magnetons per cell
# V	28.654	Å³/atom

# GGA-PBE Na3Ga2Bi4, optimized geometry
data_Na3Ga2Bi4
_symmetry_space_group_name_H-M 'P 1'
_symmetry_Int_Tables_number 1
_symmetry_space_group_name_Hall 'P 1'
_cell_length_a 8.8803
_cell_length_b 8.8803
_cell_length_c 7.3031
_cell_angle_alpha 103.32
_cell_angle_beta 103.32
_cell_angle_gamma 81.26
loop_
_atom_site_label
_atom_site_fract_x
_atom_site_fract_y
_atom_site_fract_z
Na1 0.0704 0.9296 0.7500
Na2 0.3070 0.4897 0.0401
Na3 0.4897 0.3070 0.5401
Na4 0.5103 0.6930 0.4599
Na5 0.6930 0.5103 0.9599
Na6 0.9296 0.0704 0.2500
Ga1 0.1247 0.3017 0.6128
Ga2 0.3017 0.1247 0.1128
Ga3 0.6983 0.8753 0.8872
Ga4 0.8753 0.6983 0.3872
Bi1 0.0204 0.2907 0.9449
Bi2 0.2081 0.5882 0.5561
Bi3 0.2907 0.0204 0.4449
Bi4 0.4118 0.7919 0.9439
Bi5 0.5882 0.2081 0.0561
Bi6 0.7093 0.9796 0.5551
Bi7 0.7919 0.4118 0.4439
Bi8 0.9796 0.7093 0.0551
# energy of formation from the pure elements	-108	meV per atom
# E_tot	-0.216	Ry/atom
# M_tot	0.0	Bohr magnetons per cell
# V	30.132	Å³/atom

# GGA-PBE Na4GaBi2, optimized geometry
data_Na4GaBi2
_symmetry_space_group_name_H-M 'P 1'
_symmetry_Int_Tables_number 1
_symmetry_space_group_name_Hall 'P 1'
_cell_length_a 5.6116
_cell_length_b 5.6116
_cell_length_c 15.6230
_cell_angle_alpha 90.00
_cell_angle_beta 90.00
_cell_angle_gamma 90.00
loop_
_atom_site_label
_atom_site_fract_x
_atom_site_fract_y
_atom_site_fract_z
Na1 0.0000 0.0000 0.1899
Na2 0.0000 0.0000 0.8101
Na3 0.0000 0.5000 0.0000
Na4 0.0000 0.5000 0.5000
Na5 0.5000 0.0000 0.0000
Na6 0.5000 0.0000 0.5000
Na7 0.5000 0.5000 0.3101
Na8 0.5000 0.5000 0.6899
Ga1 0.0000 0.0000 0.0000
Ga2 0.5000 0.5000 0.5000
Bi1 0.0000 0.0000 0.3972
Bi2 0.0000 0.0000 0.6028
Bi3 0.5000 0.5000 0.1028
Bi4 0.5000 0.5000 0.8972
# energy of formation from the pure elements	82	meV per atom
# E_tot	-0.163	Ry/atom
# M_tot	0.3	Bohr magnetons per cell
# V	35.141	Å³/atom

# GGA-PBE NaGaBi2, optimized geometry
data_NaGaBi2
_symmetry_space_group_name_H-M 'P 1'
_symmetry_Int_Tables_number 1
_symmetry_space_group_name_Hall 'P 1'
_cell_length_a 3.3983
_cell_length_b 3.3983
_cell_length_c 9.7763
_cell_angle_alpha 90.00
_cell_angle_beta 90.00
_cell_angle_gamma 90.00
loop_
_atom_site_label
_atom_site_fract_x
_atom_site_fract_y
_atom_site_fract_z
Na1 0.0000 0.0000 0.0000
Ga1 0.0000 0.0000 0.5000
Bi1 0.5000 0.5000 0.2598
Bi2 0.5000 0.5000 0.7402
# energy of formation from the pure elements	-87	meV per atom
# E_tot	-0.229	Ry/atom
# M_tot	0.0	Bohr magnetons per cell
# V	28.225	Å³/atom